(1)
Here is a relaxed structure of CaNdHoCd from the Alexandria database. Energies are from PBE.

CIF file:
```
data_CaNdHoCd
_chemical_formula_sum 'Ca4 Nd4 Ho4 Cd4'
_cell_length_a 7.8694
_cell_length_b 7.8694
_cell_length_c 7.8694
_cell_angle_alpha 90.00
_cell_angle_beta 90.00
_cell_angle_gamma 90.00
_space_group_name_H-M_alt 'F -4 3 m'
_space_group_IT_number 216
_space_group_name_Hall 'F -4 2 3'
loop_
_atom_site_label
_atom_site_type_symbol
_atom_site_fract_x
_atom_site_fract_y
_atom_site_fract_z
Ca1 Ca 0.0000 0.0000 0.0000
Nd1 Nd 0.2500 0.2500 0.7500
Ho1 Ho 0.2500 0.2500 0.2500
Cd1 Cd 0.0000 0.0000 0.5000
```

## Properties
For the density of states at the Fermi level, the calculation gives 20.667 states/eV per cell. As for the excess energy over the best structure of this formula in the dataset: 123 meV per atom. The crystal system is cubic.

=====

(2)
Here is a relaxed structure of CeSm4Se6 from the Alexandria database. Energies are from PBE.

CIF file:
```
data_CeSm4Se6
_chemical_formula_sum 'Ce4 Sm16 Se24'
_cell_length_a 4.1187
_cell_length_b 13.7064
_cell_length_c 21.1008
_cell_angle_alpha 90.00
_cell_angle_beta 90.00
_cell_angle_gamma 90.00
_space_group_name_H-M_alt 'C m c m'
_space_group_IT_number 63
_space_group_name_Hall '-C 2c 2'
loop_
_atom_site_label
_atom_site_type_symbol
_atom_site_fract_x
_atom_site_fract_y
_atom_site_fract_z
Ce1 Ce 0.0000 0.1564 0.2500
Sm1 Sm 0.0000 0.0896 0.6272
Sm2 Sm 0.0000 0.3592 0.5394
Se1 Se 0.0000 0.0000 0.0000
Se2 Se 0.0000 0.1874 0.7500
Se3 Se 0.0000 0.2686 0.0914
Se4 Se 0.0000 0.4496 0.6672
```

## Properties
For the density of states at the Fermi level, the calculation gives 37.635 states/eV per cell. The calculation puts the uncorrected formation energy at -1847 meV/atom. The crystal system is orthorhombic.

=====

(3)
Here is a relaxed structure of EuDyCuPb from the Alexandria database. Energies are from PBE.

CIF file:
```
data_EuDyCuPb
_chemical_formula_sum 'Eu4 Dy4 Cu4 Pb4'
_cell_length_a 7.5265
_cell_length_b 7.5265
_cell_length_c 7.5265
_cell_angle_alpha 90.00
_cell_angle_beta 90.00
_cell_angle_gamma 90.00
_space_group_name_H-M_alt 'F -4 3 m'
_space_group_IT_number 216
_space_group_name_Hall 'F -4 2 3'
loop_
_atom_site_label
_atom_site_type_symbol
_atom_site_fract_x
_atom_site_fract_y
_atom_site_fract_z
Eu1 Eu 0.0000 0.0000 0.0000
Dy1 Dy 0.0000 0.0000 0.5000
Cu1 Cu 0.2500 0.2500 0.7500
Pb1 Pb 0.2500 0.2500 0.2500
```

## Properties
For the density of states at the Fermi level, the calculation gives 32.189 states/eV per cell. Its total energy is -0.4390 Ry per atom. The crystal system is cubic.

=====

(4)
Here is a relaxed structure of LiBeMo from the Alexandria database. Energies are from PBE.

CIF file:
```
data_LiBeMo
_chemical_formula_sum 'Li2 Be2 Mo2'
_cell_length_a 2.6324
_cell_length_b 2.6324
_cell_length_c 11.0092
_cell_angle_alpha 90.00
_cell_angle_beta 90.00
_cell_angle_gamma 90.00
_space_group_name_H-M_alt 'I 4 m m'
_space_group_IT_number 107
_space_group_name_Hall 'I 4 -2'
loop_
_atom_site_label
_atom_site_type_symbol
_atom_site_fract_x
_atom_site_fract_y
_atom_site_fract_z
Li1 Li 0.0000 0.0000 0.0000
Be1 Be 0.0000 0.0000 0.3501
Mo1 Mo 0.0000 0.0000 0.6968
```

## Properties
For the density of states at the Fermi level, the calculation gives 3.403 states/eV per cell. As for the excess energy over the best structure of this formula in the dataset: 0 meV per atom. The crystal system is tetragonal.

=====

(5)
Here is a relaxed structure of Na2PbSe from the Alexandria database. Energies are from PBE.

CIF file:
```
data_Na2PbSe
_chemical_formula_sum 'Na8 Pb4 Se4'
_cell_length_a 8.5490
_cell_length_b 8.5490
_cell_length_c 6.2916
_cell_angle_alpha 90.00
_cell_angle_beta 90.00
_cell_angle_gamma 90.00
_space_group_name_H-M_alt 'I -4 2 d'
_space_group_IT_number 122
_space_group_name_Hall 'I -4 2bw'
loop_
_atom_site_label
_atom_site_type_symbol
_atom_site_fract_x
_atom_site_fract_y
_atom_site_fract_z
Na1 Na 0.1938 0.7500 0.1250
Pb1 Pb 0.0000 0.0000 0.5000
Se1 Se 0.0000 0.0000 0.0000
```

## Properties
For the density of states at the Fermi level, the calculation gives 6.507 states/eV per cell. As for the excess energy over the best structure of this formula in the dataset: 0 meV per atom. The calculation puts the uncorrected formation energy at -391 meV/atom. The crystal system is tetragonal.

=====

(6)
Here is a relaxed structure of PWN2 from the Alexandria database. Energies are from PBE.

CIF file:
```
data_PWN2
_chemical_formula_sum 'P4 W4 N8'
_cell_length_a 5.3677
_cell_length_b 5.3677
_cell_length_c 5.3677
_cell_angle_alpha 90.00
_cell_angle_beta 90.00
_cell_angle_gamma 90.00
_space_group_name_H-M_alt 'F m -3 m'
_space_group_IT_number 225
_space_group_name_Hall '-F 4 2 3'
loop_
_atom_site_label
_atom_site_type_symbol
_atom_site_fract_x
_atom_site_fract_y
_atom_site_fract_z
P1 P 0.0000 0.0000 0.0000
W1 W 0.0000 0.0000 0.5000
N1 N 0.2500 0.2500 0.2500
```

## Properties
For the density of states at the Fermi level, the calculation gives 8.587 states/eV per cell. As for the excess energy over the best structure of this formula in the dataset: 1015 meV per atom. The calculation puts the uncorrected formation energy at 1106 meV/atom. The crystal system is cubic.

=====

(7)
Here is a relaxed structure of Th2MgPaN5 from the Alexandria database. Energies are from PBE.

CIF file:
```
data_Th2MgPaN5
_chemical_formula_sum 'Th8 Mg4 Pa4 N20'
_cell_length_a 3.5867
_cell_length_b 14.0054
_cell_length_c 10.7417
_cell_angle_alpha 90.00
_cell_angle_beta 90.00
_cell_angle_gamma 90.00
_space_group_name_H-M_alt 'C m c 21'
_space_group_IT_number 36
loop_
_space_group_symop_operation_xyz
'x,y,z'
'-x,-y,z+1/2'
'-x,y,z'
'x,-y,z+1/2'
'x+1/2,y+1/2,z'
'-x+1/2,-y+1/2,z+1/2'
'-x+1/2,y+1/2,z'
'x+1/2,-y+1/2,z+1/2'
loop_
_atom_site_label
_atom_site_type_symbol
_atom_site_fract_x
_atom_site_fract_y
_atom_site_fract_z
Th1 Th 0.0000 0.1115 0.0000
Th2 Th 0.0000 0.1253 0.5947
Mg1 Mg 0.0000 0.4840 0.7931
Pa1 Pa 0.0000 0.2089 0.3126
N1 N 0.0000 0.0583 0.3732
N2 N 0.0000 0.2821 0.9574
N3 N 0.0000 0.2994 0.6759
N4 N 0.0000 0.3667 0.3462
N5 N 0.0000 0.4878 0.0980
```

## Properties
The calculation puts the uncorrected formation energy at -1381 meV/atom. The crystal system is orthorhombic.

=====

(8)
Here is a relaxed structure of PmAgPb from the Alexandria database. Energies are from PBE.

CIF file:
```
data_PmAgPb
_chemical_formula_sum 'Pm4 Ag4 Pb4'
_cell_length_a 3.3180
_cell_length_b 16.8559
_cell_length_c 5.9991
_cell_angle_alpha 90.00
_cell_angle_beta 90.00
_cell_angle_gamma 90.00
_space_group_name_H-M_alt 'C m c m'
_space_group_IT_number 63
_space_group_name_Hall '-C 2c 2'
loop_
_atom_site_label
_atom_site_type_symbol
_atom_site_fract_x
_atom_site_fract_y
_atom_site_fract_z
Pm1 Pm 0.0000 0.1782 0.2500
Ag1 Ag 0.0000 0.3584 0.2500
Pb1 Pb 0.0000 0.0000 0.0000
```

## Properties
For the density of states at the Fermi level, the calculation gives 9.406 states/eV per cell. As for the excess energy over the best structure of this formula in the dataset: 408 meV per atom. The crystal system is orthorhombic.

=====

(9)
Here is a relaxed structure of NiTeS2Cl from the Alexandria database. Energies are from PBE.

CIF file:
```
data_NiTeS2Cl
_chemical_formula_sum 'Ni1 Te1 S2 Cl1'
_cell_length_a 5.1033
_cell_length_b 5.1033
_cell_length_c 5.1366
_cell_angle_alpha 90.00
_cell_angle_beta 90.00
_cell_angle_gamma 90.00
_space_group_name_H-M_alt 'P 4/m m m'
_space_group_IT_number 123
_space_group_name_Hall '-P 4 2'
loop_
_atom_site_label
_atom_site_type_symbol
_atom_site_fract_x
_atom_site_fract_y
_atom_site_fract_z
Ni1 Ni 0.0000 0.0000 0.0000
Te1 Te 0.5000 0.5000 0.5000
S1 S 0.0000 0.5000 0.5000
Cl1 Cl 0.5000 0.5000 0.0000
```

## Properties
For the density of states at the Fermi level, the calculation gives 10.591 states/eV per cell. As for the excess energy over the best structure of this formula in the dataset: 659 meV per atom. The calculation puts the uncorrected formation energy at 835 meV/atom. The crystal system is tetragonal.

=====

(10)
Here is a relaxed structure of AsPb2W from the Alexandria database. Energies are from PBE.

CIF file:
```
data_AsPb2W
_chemical_formula_sum 'As2 Pb4 W2'
_cell_length_a 3.7677
_cell_length_b 4.7958
_cell_length_c 10.3068
_cell_angle_alpha 90.00
_cell_angle_beta 90.00
_cell_angle_gamma 90.00
_space_group_name_H-M_alt 'C m m m'
_space_group_IT_number 65
_space_group_name_Hall '-C 2 2'
loop_
_atom_site_label
_atom_site_type_symbol
_atom_site_fract_x
_atom_site_fract_y
_atom_site_fract_z
As1 As 0.0000 0.0000 0.0000
Pb1 Pb 0.0000 0.5000 0.2699
W1 W 0.0000 0.0000 0.5000
```

## Properties
For the density of states at the Fermi level, the calculation gives 7.962 states/eV per cell. Its total energy is -0.3984 Ry per atom. The crystal system is orthorhombic.

=====

(11)
Here is a relaxed structure of ErU2Tl3Se6 from the Alexandria database. Energies are from PBE.

CIF file:
```
data_ErU2Tl3Se6
_chemical_formula_sum 'Er2 U4 Tl6 Se12'
_cell_length_a 7.2216
_cell_length_b 12.5059
_cell_length_c 8.2139
_cell_angle_alpha 90.00
_cell_angle_beta 107.04
_cell_angle_gamma 90.00
_space_group_name_H-M_alt 'C 1 2/m 1'
_space_group_IT_number 12
loop_
_space_group_symop_operation_xyz
'x,y,z'
'-x,-y,-z'
'-x,y,-z'
'x,-y,z'
'x+1/2,y+1/2,z'
'-x+1/2,-y+1/2,-z'
'-x+1/2,y+1/2,-z'
'x+1/2,-y+1/2,z'
loop_
_atom_site_label
_atom_site_type_symbol
_atom_site_fract_x
_atom_site_fract_y
_atom_site_fract_z
Er1 Er 0.0000 0.0000 0.0000
U1 U 0.0000 0.3335 0.0000
Tl1 Tl 0.0000 0.1681 0.5000
Tl2 Tl 0.0000 0.5000 0.5000
Se1 Se 0.2330 0.1650 0.2040
Se2 Se 0.2385 0.5000 0.2050
```

## Properties
For the density of states at the Fermi level, the calculation gives 17.077 states/eV per cell. The calculation puts the uncorrected formation energy at -1032 meV/atom. The crystal system is monoclinic.

=====

(12)
Here is a relaxed structure of Re2HgW from the Alexandria database. Energies are from PBE.

CIF file:
```
data_Re2HgW
_chemical_formula_sum 'Re4 Hg2 W2'
_cell_length_a 9.5848
_cell_length_b 2.9206
_cell_length_c 4.8558
_cell_angle_alpha 90.00
_cell_angle_beta 101.75
_cell_angle_gamma 90.00
_space_group_name_H-M_alt 'C 1 m 1'
_space_group_IT_number 8
loop_
_space_group_symop_operation_xyz
'x,y,z'
'x,-y,z'
'x+1/2,y+1/2,z'
'x+1/2,-y+1/2,z'
loop_
_atom_site_label
_atom_site_type_symbol
_atom_site_fract_x
_atom_site_fract_y
_atom_site_fract_z
Re1 Re 0.0000 0.0000 0.0000
Re2 Re 0.2319 0.5000 0.2130
Hg1 Hg 0.2386 0.0000 0.7183
W1 W 0.4762 0.0000 0.4402
```

## Properties
For the density of states at the Fermi level, the calculation gives 4.807 states/eV per cell. Its total energy is -0.6576 Ry per atom. The crystal system is monoclinic.